[1]
# YZn

An optimized crystal structure of YZn (PBE, the Alexandria database).

Unit cell a=11.9594 b=3.5657 c=6.9870 alpha=90.00 beta=110.67 gamma=90.00
Space group Cm (No. 8)
Unique sites:
Y: 0.0000 0.0000 0.0000 x2
Y: 0.0127 0.0000 0.5178 x2
Y: 0.2193 0.5000 0.3712 x2
Zn: 0.1883 0.5000 0.8823 x2
Zn: 0.3059 0.0000 0.7330 x2
Zn: 0.3431 0.0000 0.1457 x2

Summary:
* density of states at the Fermi level: 11.75 states/eV/cell
* total magnetization: 0.000 μB per cell
* DFT total energy: -4.08 eV/atom

[2]
# Y2Zn

An optimized crystal structure of Y2Zn (PBE, the Alexandria database).

Unit cell a=3.8313 b=15.6627 c=5.4711 alpha=90.00 beta=90.00 gamma=90.00
Space group Cmcm (No. 63)
Unique sites:
Y: 0.0000 0.0656 0.2500 x4
Y: 0.0000 0.3658 0.2500 x4
Zn: 0.0000 0.2804 0.7500 x4

Summary:
* density of states at the Fermi level: 9.92 states/eV/cell
* total magnetization: 0.000 μB per cell
* DFT total energy: -4.85 eV/atom

[3]
# Y4Zn

An optimized crystal structure of Y4Zn (PBE, the Alexandria database).

Unit cell a=12.5218 b=3.6465 c=12.6716 alpha=90.00 beta=92.99 gamma=90.00
Space group C2/m (No. 12)
Unique sites:
Y: 0.0774 0.0000 0.3402 x4
Y: 0.0841 0.5000 0.8379 x4
Y: 0.1449 0.0000 0.0741 x4
Y: 0.1523 0.5000 0.5747 x4
Zn: 0.2450 0.5000 0.2503 x4

Summary:
* density of states at the Fermi level: 25.58 states/eV/cell
* energy relative to the lowest polymorph listed for this composition: 0.0 kJ/mol of atoms
* total magnetization: 0.004 μB per cell
* DFT total energy: -5.56 eV/atom

[4]
# YZn

An optimized crystal structure of YZn (PBE, the Alexandria database).

Unit cell a=8.6371 b=8.6371 c=5.0736 alpha=90.00 beta=90.00 gamma=90.00
Space group I4/mmm (No. 139)
Unique sites:
Y: 0.0000 0.2974 0.0000 x8
Zn: 0.1510 0.1510 0.5000 x8

Summary:
* density of states at the Fermi level: 10.64 states/eV/cell
* total magnetization: 0.000 μB per cell
* DFT total energy: -4.12 eV/atom

[5]
# YZn

An optimized crystal structure of YZn (PBE, the Alexandria database).

Unit cell a=8.3644 b=8.3644 c=4.7329 alpha=90.00 beta=90.00 gamma=120.00
Space group P6_3/mmc (No. 194)
Unique sites:
Y: 0.1736 0.3471 0.2500 x6
Zn: 0.1267 0.5633 0.7500 x6

Summary:
* density of states at the Fermi level: 7.01 states/eV/cell
* total magnetization: 0.000 μB per cell
* DFT total energy: -4.10 eV/atom

[6]
# YZn3

An optimized crystal structure of YZn3 (PBE, the Alexandria database).

Unit cell a=3.7050 b=3.7050 c=7.2380 alpha=90.00 beta=90.00 gamma=120.00
Space group P-6m2 (No. 187)
Unique sites:
Y: 0.0000 0.0000 0.0000 x1
Zn: 0.0000 0.0000 0.5000 x1
Zn: 0.3333 0.6667 0.2959 x2

Summary:
* density of states at the Fermi level: 2.10 states/eV/cell
* total magnetization: 0.000 μB per cell
* DFT total energy: -2.59 eV/atom

[7]
# Y2Zn

An optimized crystal structure of Y2Zn (PBE, the Alexandria database).

Unit cell a=13.6284 b=13.6284 c=13.6284 alpha=90.00 beta=90.00 gamma=90.00
Space group Fd-3m (No. 227, origin choice 2)
Unique sites:
Y: 0.0000 0.0000 0.0000 x16
Y: 0.0607 0.3750 0.8750 x48
Zn: 0.0352 0.0352 0.2148 x32

Summary:
* density of states at the Fermi level: 79.11 states/eV/cell
* total magnetization: 0.002 μB per cell
* DFT total energy: -4.95 eV/atom

[8]
# Y3Zn5

An optimized crystal structure of Y3Zn5 (PBE, the Alexandria database).

Unit cell a=7.1619 b=9.8812 c=4.7914 alpha=90.00 beta=90.00 gamma=90.00
Space group Cmmm (No. 65)
Unique sites:
Y: 0.0000 0.0000 0.0000 x2
Y: 0.0000 0.2779 0.5000 x4
Zn: 0.0000 0.5000 0.0000 x2
Zn: 0.2372 0.0000 0.5000 x4
Zn: 0.2500 0.2500 0.0000 x4

Summary:
* density of states at the Fermi level: 9.72 states/eV/cell
* energy relative to the lowest polymorph listed for this composition: 0.0 kJ/mol of atoms
* total magnetization: 0.000 μB per cell
* DFT total energy: -3.51 eV/atom